(1)
VASP calculation (PBE) on a relaxed LiSm2AgS4 crystal.

Properties
**ΔE_f (raw)**: -1.53 eV/atom
**Final energy**: -5.3693 eV per atom

Cell lengths 6.612, 4.062, 7.034 Å; angles 90.00, 110.98, 90.00 degrees
Positions (direct):
Li (0.000, 0.000, 0.000)
Sm (0.500, 0.000, 0.500)
Sm (0.500, 0.500, 0.000)
Ag (0.000, 0.500, 0.500)
S (0.250, 0.000, 0.753)
S (0.250, 0.500, 0.245)
S (0.750, 0.000, 0.247)
S (0.750, 0.500, 0.755)

(2)
VASP calculation (PBE) on a relaxed Li2AgSnS4 crystal.

Properties
**ΔE_f (raw)**: -0.59 eV/atom
**Final energy**: -3.9888 eV per atom

Cell lengths 6.595, 3.683, 6.759 Å; angles 90.00, 112.89, 90.00 degrees
Positions (direct):
Li (0.000, 0.000, 0.000)
Li (0.000, 0.500, 0.500)
Ag (0.500, 0.000, 0.500)
Sn (0.500, 0.500, 0.000)
S (0.230, 0.000, 0.773)
S (0.283, 0.500, 0.245)
S (0.717, 0.500, 0.755)
S (0.770, 0.000, 0.227)

(3)
VASP calculation (PBE) on a relaxed LiAgSn2S4 crystal.

Properties
**ΔE_f (raw)**: -0.48 eV/atom
**Final energy**: -4.1414 eV per atom

Cell lengths 7.059, 6.518, 6.182 Å; angles 67.47, 58.54, 53.99 degrees
Positions (direct):
Li (0.000, 0.000, 0.000)
Ag (0.498, 0.498, 0.502)
Sn (0.239, 0.239, 0.261)
Sn (0.739, 0.739, 0.761)
S (0.144, 0.652, 0.348)
S (0.392, 0.910, 0.608)
S (0.652, 0.144, 0.856)
S (0.910, 0.392, 0.090)

(4)
VASP calculation (PBE) on a relaxed SrLiAgS2 crystal.

Properties
**ΔE_f (raw)**: -1.16 eV/atom
**Final energy**: -4.0963 eV per atom

Cell lengths 7.436, 7.436, 5.442 Å; angles 90.00, 90.00, 134.76 degrees
Positions (direct):
Sr (0.250, 0.750, 0.758)
Sr (0.750, 0.250, 0.242)
Li (0.250, 0.250, 0.500)
Li (0.750, 0.750, 0.500)
Ag (0.000, 0.000, 0.000)
Ag (0.500, 0.500, 0.000)
S (0.131, 0.869, 0.282)
S (0.369, 0.631, 0.282)
S (0.631, 0.369, 0.718)
S (0.869, 0.131, 0.718)

(5)
VASP calculation (PBE) on a relaxed LiTaAg2S4 crystal.

Properties
**ΔE_f (raw)**: -0.69 eV/atom
**Final energy**: -5.1921 eV per atom

Cell lengths 6.968, 6.966, 5.768 Å; angles 65.57, 65.52, 48.90 degrees
Positions (direct):
Li (0.000, 0.000, 0.000)
Ta (0.500, 0.500, 0.500)
Ag (0.250, 0.250, 0.250)
Ag (0.750, 0.750, 0.750)
S (0.153, 0.620, 0.380)
S (0.380, 0.848, 0.620)
S (0.620, 0.153, 0.847)
S (0.848, 0.380, 0.152)

(6)
VASP calculation (PBE) on a relaxed Li2TaAgS4 crystal.

Properties
**ΔE_f (raw)**: -0.94 eV/atom
**Final energy**: -5.3238 eV per atom

Cell lengths 6.849, 6.849, 6.849 Å; angles 130.57, 130.57, 72.49 degrees
Positions (direct):
Li (0.250, 0.750, 0.500)
Li (0.750, 0.250, 0.500)
Ta (0.000, 0.000, 0.000)
Ag (0.500, 0.500, 0.000)
S (0.106, 0.649, 0.000)
S (0.351, 0.351, 0.457)
S (0.649, 0.106, 0.000)
S (0.894, 0.894, 0.543)

(7)
VASP calculation (PBE) on a relaxed LiTaAgS2 crystal.

Properties
**ΔE_f (raw)**: 1.14 eV/atom
**Final energy**: -3.8317 eV per atom

Cell lengths 4.951, 4.951, 5.049 Å; angles 90.00, 90.00, 90.00 degrees
Positions (direct):
Li (0.000, 0.000, 0.000)
Ta (0.500, 0.500, 0.000)
Ag (0.500, 0.500, 0.500)
S (0.000, 0.500, 0.500)
S (0.500, 0.000, 0.500)

(8)
VASP calculation (PBE) on a relaxed LiTb2AgS4 crystal.

Properties
**ΔE_f (raw)**: -1.56 eV/atom
**Final energy**: -5.3767 eV per atom

Cell lengths 6.613, 3.991, 6.903 Å; angles 90.00, 110.48, 90.00 degrees
Positions (direct):
Li (0.000, 0.000, 0.000)
Tb (0.500, 0.000, 0.500)
Tb (0.500, 0.500, 0.000)
Ag (0.000, 0.500, 0.500)
S (0.255, 0.000, 0.755)
S (0.255, 0.500, 0.247)
S (0.745, 0.000, 0.245)
S (0.745, 0.500, 0.753)

The lowest ΔE_f (raw) belongs to which entry?
LiTb2AgS4

Copy entry 6 word for word.
VASP calculation (PBE) on a relaxed Li2TaAgS4 crystal.

Properties
**ΔE_f (raw)**: -0.94 eV/atom
**Final energy**: -5.3238 eV per atom

Cell lengths 6.849, 6.849, 6.849 Å; angles 130.57, 130.57, 72.49 degrees
Positions (direct):
Li (0.250, 0.750, 0.500)
Li (0.750, 0.250, 0.500)
Ta (0.000, 0.000, 0.000)
Ag (0.500, 0.500, 0.000)
S (0.106, 0.649, 0.000)
S (0.351, 0.351, 0.457)
S (0.649, 0.106, 0.000)
S (0.894, 0.894, 0.543)

Which formula does entry 1 have?
LiSm2AgS4